Here is crystalline Li3NbS4 at its relaxed geometry from Alexandria via LeMat-Bulk. Energies are from GGA-PBE.

Geometry as POSCAR:
```
Li3NbS4
1.0
11.414 0.000 0.000
0.000 11.154 0.000
0.000 0.000 12.489
Li Nb S
24 8 32
direct
0.158 0.107 0.121
0.342 0.107 0.621
0.612 0.111 0.139
0.888 0.111 0.639
0.115 0.148 0.868
0.385 0.148 0.368
0.615 0.352 0.868
0.885 0.352 0.368
0.388 0.389 0.639
0.112 0.389 0.139
0.658 0.393 0.121
0.842 0.393 0.621
0.158 0.607 0.379
0.342 0.607 0.879
0.888 0.611 0.861
0.612 0.611 0.361
0.385 0.648 0.132
0.115 0.648 0.632
0.615 0.852 0.632
0.885 0.852 0.132
0.388 0.889 0.861
0.112 0.889 0.361
0.842 0.893 0.879
0.658 0.893 0.379
0.887 0.130 0.128
0.613 0.130 0.628
0.387 0.370 0.128
0.113 0.370 0.628
0.613 0.630 0.872
0.887 0.630 0.372
0.113 0.870 0.872
0.387 0.870 0.372
0.503 0.992 0.271
0.997 0.992 0.771
0.265 0.992 0.467
0.235 0.992 0.967
0.011 0.242 0.023
0.489 0.242 0.523
0.736 0.245 0.733
0.764 0.245 0.233
0.264 0.255 0.233
0.236 0.255 0.733
0.989 0.258 0.523
0.511 0.258 0.023
0.765 0.508 0.467
0.735 0.508 0.967
0.497 0.508 0.771
0.003 0.508 0.271
0.503 0.492 0.229
0.997 0.492 0.729
0.265 0.492 0.033
0.235 0.492 0.533
0.489 0.742 0.977
0.011 0.742 0.477
0.764 0.745 0.267
0.736 0.745 0.767
0.236 0.755 0.767
0.264 0.755 0.267
0.989 0.758 0.977
0.511 0.758 0.477
0.765 0.008 0.033
0.735 0.008 0.533
0.497 0.008 0.729
0.003 0.008 0.229
```

Values from the calculation:
Energy relative to the elements, uncorrected: -1.128 eV per atom
Symmetry: Pbca
Calculated volume: 1590.0 Å³ per cell
Raw total energy: -5.168 eV/atom
Distance to the lowest polymorph of the same formula: 23 meV/atom


Here is crystalline Li2NbS4 at its relaxed geometry from Alexandria via LeMat-Bulk. Energies are from GGA-PBE.

Geometry as POSCAR:
```
Li2NbS4
1.0
4.866 0.000 0.000
0.000 4.866 0.000
2.433 2.433 6.338
Nb S Li
1 4 2
direct
0.000 0.000 0.000
0.188 0.188 0.623
0.812 0.812 0.377
0.000 0.500 0.000
0.500 0.000 0.000
0.375 0.375 0.249
0.625 0.625 0.751
```

Values from the calculation:
Energy relative to the elements, uncorrected: -0.668 eV per atom
Symmetry: I4/mmm
Calculated volume: 150.1 Å³ per cell
Raw total energy: -5.012 eV/atom
Distance to the lowest polymorph of the same formula: 258 meV/atom


Here is crystalline Li3NbS4 at its relaxed geometry from Alexandria via LeMat-Bulk. Energies are from GGA-PBE.

Geometry as POSCAR:
```
Li3NbS4
1.0
-5.723 -1.860 -4.349
4.482 -10.159 -7.891
-7.308 -10.675 7.846
Li Nb S
24 8 32
direct
0.954 0.000 0.000
0.473 0.000 0.000
0.213 0.994 0.501
0.516 0.102 0.306
0.754 0.168 0.679
0.920 0.297 0.373
0.158 0.308 0.137
0.215 0.192 0.637
0.967 0.203 0.873
0.672 0.332 0.179
0.368 0.398 0.806
0.957 0.506 0.001
0.704 0.500 0.500
0.223 0.500 0.500
0.464 0.494 0.999
0.572 0.602 0.194
0.182 0.668 0.821
0.043 0.797 0.127
0.045 0.808 0.363
0.602 0.692 0.863
0.590 0.703 0.627
0.601 0.832 0.321
0.924 0.898 0.694
0.708 0.006 0.499
0.341 0.968 0.755
0.568 0.247 0.014
0.565 0.253 0.514
0.058 0.532 0.255
0.845 0.468 0.745
0.332 0.747 0.486
0.829 0.753 0.986
0.063 0.032 0.245
0.301 0.987 0.323
0.106 0.031 0.675
0.237 0.050 0.892
0.705 0.108 0.920
0.950 0.207 0.230
0.398 0.150 0.474
0.878 0.162 0.500
0.480 0.202 0.163
0.431 0.298 0.663
0.790 0.338 0.000
0.297 0.350 0.974
0.907 0.293 0.730
0.563 0.392 0.420
0.038 0.450 0.392
0.888 0.469 0.175
0.039 0.513 0.823
0.374 0.487 0.177
0.531 0.531 0.825
0.880 0.550 0.608
0.375 0.608 0.580
0.931 0.707 0.270
0.622 0.650 0.026
0.128 0.662 0.000
0.393 0.702 0.337
0.844 0.798 0.837
0.539 0.838 0.500
0.021 0.850 0.526
0.387 0.793 0.770
0.733 0.892 0.080
0.180 0.950 0.108
0.813 0.969 0.325
0.611 0.013 0.677
```

Values from the calculation:
Energy relative to the elements, uncorrected: -1.110 eV per atom
Symmetry: Fdd2
Calculated volume: 1427.4 Å³ per cell
Raw total energy: -5.150 eV/atom
Distance to the lowest polymorph of the same formula: 41 meV/atom


Here is crystalline Li2NbS4 at its relaxed geometry from Alexandria via LeMat-Bulk. Energies are from GGA-PBE.

Geometry as POSCAR:
```
Li2NbS4
1.0
3.533 0.000 0.000
0.000 6.168 -0.002
-1.766 -2.977 5.930
Li Nb S
2 1 4
direct
0.698 0.669 0.396
0.302 0.331 0.604
0.000 0.000 0.000
0.935 0.322 0.869
0.065 0.678 0.131
0.642 0.219 0.283
0.358 0.781 0.717
```

Values from the calculation:
Energy relative to the elements, uncorrected: -0.926 eV per atom
Symmetry: C2/m
Calculated volume: 129.2 Å³ per cell
Raw total energy: -5.270 eV/atom
Distance to the lowest polymorph of the same formula: 0 meV/atom


Here is crystalline LiNb4S8 at its relaxed geometry from Alexandria via LeMat-Bulk. Energies are from GGA-PBE.

Geometry as POSCAR:
```
LiNb4S8
1.0
-4.466 -4.991 2.425
-0.204 -6.408 -3.103
2.551 -5.699 3.427
Li Nb S
1 4 8
direct
0.750 0.750 0.750
0.915 0.362 0.362
0.362 0.915 0.362
0.362 0.362 0.915
0.362 0.362 0.362
0.641 0.120 0.120
0.120 0.641 0.120
0.120 0.120 0.641
0.120 0.120 0.120
0.151 0.616 0.616
0.616 0.151 0.616
0.616 0.616 0.151
0.616 0.616 0.616
```

Values from the calculation:
Energy relative to the elements, uncorrected: -1.019 eV per atom
Symmetry: F-43m
Calculated volume: 255.5 Å³ per cell
Raw total energy: -6.805 eV/atom
Distance to the lowest polymorph of the same formula: 49 meV/atom


Here is crystalline Li3NbS4 at its relaxed geometry from Alexandria via LeMat-Bulk. Energies are from GGA-PBE.

Geometry as POSCAR:
```
Li3NbS4
1.0
-3.016 0.122 8.445
8.044 -3.957 -0.245
0.710 8.406 -3.042
Li Nb S
12 4 16
direct
0.000 0.499 0.237
0.499 0.000 0.237
0.763 0.262 0.763
0.738 0.501 0.501
0.763 0.763 0.262
0.237 0.499 0.000
0.501 0.501 0.738
0.499 0.237 0.000
0.000 0.237 0.499
0.501 0.738 0.501
0.237 0.000 0.499
0.262 0.763 0.763
0.718 0.000 0.000
0.282 0.282 0.282
0.000 0.718 0.000
0.000 0.000 0.718
0.759 0.244 0.244
0.756 0.515 0.000
0.228 0.000 0.000
0.000 0.228 0.000
0.000 0.000 0.228
0.485 0.485 0.241
0.485 0.241 0.485
0.515 0.000 0.756
0.000 0.515 0.756
0.241 0.485 0.485
0.244 0.759 0.244
0.756 0.000 0.515
0.244 0.244 0.759
0.772 0.772 0.772
0.515 0.756 0.000
0.000 0.756 0.515
```

Values from the calculation:
Energy relative to the elements, uncorrected: -1.151 eV per atom
Symmetry: I-43m
Calculated volume: 555.2 Å³ per cell
Raw total energy: -5.192 eV/atom
Distance to the lowest polymorph of the same formula: 0 meV/atom


Here is crystalline Li3NbS4 at its relaxed geometry from Alexandria via LeMat-Bulk. Energies are from GGA-PBE.

Geometry as POSCAR:
```
Li3NbS4
1.0
7.283 0.000 0.000
0.000 9.702 0.000
0.000 0.000 9.658
Li Nb S
12 4 16
direct
0.246 0.769 0.563
0.246 0.769 0.937
0.980 0.888 0.250
0.520 0.388 0.750
0.254 0.269 0.063
0.254 0.269 0.437
0.746 0.731 0.563
0.746 0.731 0.937
0.480 0.612 0.250
0.020 0.112 0.750
0.754 0.231 0.063
0.754 0.231 0.437
0.075 0.506 0.250
0.425 0.006 0.750
0.575 0.994 0.250
0.925 0.494 0.750
0.827 0.651 0.250
0.237 0.037 0.562
0.237 0.037 0.938
0.005 0.273 0.250
0.495 0.773 0.750
0.263 0.537 0.062
0.263 0.537 0.438
0.673 0.151 0.750
0.327 0.849 0.250
0.737 0.463 0.562
0.737 0.463 0.938
0.505 0.227 0.250
0.995 0.727 0.750
0.763 0.963 0.062
0.763 0.963 0.438
0.173 0.349 0.750
```

Values from the calculation:
Energy relative to the elements, uncorrected: -1.092 eV per atom
Symmetry: Pnma
Calculated volume: 682.4 Å³ per cell
Raw total energy: -5.132 eV/atom
Distance to the lowest polymorph of the same formula: 60 meV/atom


Here is crystalline Li2NbSbS at its relaxed geometry from Alexandria via LeMat-Bulk. Energies are from GGA-PBE.

Geometry as POSCAR:
```
Li2NbSbS
1.0
-4.987 0.672 -2.001
1.227 -2.212 -3.801
-1.529 -4.690 2.236
Sb Nb S Li
1 1 1 2
direct
0.500 0.500 0.500
0.000 0.000 0.000
0.000 0.500 0.000
0.000 0.000 0.500
0.500 0.000 0.000
```

Values from the calculation:
Energy relative to the elements, uncorrected: 0.485 eV per atom
Symmetry: P4/mmm
Calculated volume: 133.9 Å³ per cell
Raw total energy: -3.944 eV/atom


Here is crystalline Li3Sm3NbS8 at its relaxed geometry from Alexandria via LeMat-Bulk. Energies are from GGA-PBE.

Geometry as POSCAR:
```
Li3Sm3NbS8
1.0
7.846 0.000 0.000
-3.923 6.795 -0.024
0.000 -4.510 6.195
Li Sm Nb S
3 3 1 8
direct
0.000 0.000 0.000
0.000 0.500 0.000
0.500 0.500 0.000
0.500 0.000 0.500
0.500 0.500 0.500
0.000 0.500 0.500
0.000 0.000 0.500
0.247 0.494 0.241
0.753 0.506 0.759
0.768 0.536 0.259
0.232 0.464 0.741
0.768 0.991 0.259
0.232 0.009 0.741
0.223 0.991 0.259
0.777 0.009 0.741
```

Values from the calculation:
Energy relative to the elements, uncorrected: -1.595 eV per atom
Symmetry: R-3m
Calculated volume: 329.4 Å³ per cell
Raw total energy: -5.794 eV/atom


Here is crystalline SrLi2NbS at its relaxed geometry from Alexandria via LeMat-Bulk. Energies are from GGA-PBE.

Geometry as POSCAR:
```
SrLi2NbS
1.0
5.116 0.000 0.000
0.000 5.245 0.000
0.000 0.000 5.116
Sr Nb S Li
1 1 1 2
direct
0.000 0.000 0.000
0.000 0.500 0.000
0.500 0.500 0.500
0.000 0.000 0.500
0.500 0.000 0.000
```

Values from the calculation:
Energy relative to the elements, uncorrected: 1.584 eV per atom
Symmetry: P4/mmm
Calculated volume: 137.3 Å³ per cell
Raw total energy: -2.357 eV/atom


Here is crystalline Li2Ta2NbS6 at its relaxed geometry from Alexandria via LeMat-Bulk. Energies are from GGA-PBE.

Geometry as POSCAR:
```
Li2Ta2NbS6
1.0
-5.957 -0.104 0.423
2.958 -4.076 -3.211
1.334 -2.553 6.062
Li Ta Nb S
2 2 1 6
direct
0.827 0.173 0.000
0.173 0.827 0.000
0.362 0.638 0.500
0.638 0.362 0.500
0.000 0.000 0.500
0.749 0.749 0.760
0.062 0.408 0.727
0.251 0.251 0.240
0.408 0.062 0.727
0.938 0.592 0.273
0.592 0.938 0.273
```

Values from the calculation:
Energy relative to the elements, uncorrected: -1.129 eV per atom
Symmetry: C2/m
Calculated volume: 197.5 Å³ per cell
Raw total energy: -6.798 eV/atom


Here is crystalline Li3Tb3NbS8 at its relaxed geometry from Alexandria via LeMat-Bulk. Energies are from GGA-PBE.

Geometry as POSCAR:
```
Li3Tb3NbS8
1.0
-5.763 0.335 -5.125
-1.488 -1.736 7.374
2.145 7.043 -1.951
Li Tb Nb S
3 3 1 8
direct
0.000 0.000 0.000
0.000 0.500 0.000
0.500 0.500 0.000
0.500 0.000 0.500
0.500 0.500 0.500
0.000 0.500 0.500
0.000 0.000 0.500
0.248 0.497 0.245
0.752 0.503 0.755
0.766 0.531 0.260
0.234 0.469 0.740
0.766 0.995 0.260
0.234 0.005 0.740
0.229 0.995 0.260
0.771 0.005 0.740
```

Values from the calculation:
Energy relative to the elements, uncorrected: -1.626 eV per atom
Symmetry: R-3m
Calculated volume: 318.8 Å³ per cell
Raw total energy: -5.807 eV/atom


- Among the records above, which one has the highest calculated volume?
  number 1